Below is a relaxed La4TlPt crystal, with properties calculated at the GGA-PBE level.

a = 6.3343 Å, b = 6.3343 Å, c = 6.3343 Å
α = 60.00°, β = 60.00°, γ = 60.00°
Closest atoms and distances in Å follow each position.
Fractional positions:
La: 0.1245 0.1245 0.1245  6 La 3.15-3.18
La: 0.1245 0.1245 0.6266  6 La 3.15-3.18
La: 0.1245 0.6266 0.1245  6 La 3.15-3.18
La: 0.6266 0.1245 0.1245  6 La 3.15-3.18
Tl: 0.5000 0.5000 0.5000  12 La 3.72, 4 Pt 3.88
Pt: 0.7500 0.7500 0.7500  12 La 3.71, 4 Tl 3.88

## Properties
Energy above the most stable polymorph in this dataset   4.67 eV per formula unit
Formation energy from the elements   199 meV per atom
Space group   F-43m, No. 216

***

Below is a relaxed LaNd6Ho8 crystal, with properties calculated at the GGA-PBE level.

a = 8.7570 Å, b = 8.7570 Å, c = 8.7570 Å
α = 62.73°, β = 62.73°, γ = 62.73°
Closest atoms and distances in Å follow each position.
Fractional positions:
La: 0.0000 0.0000 0.0000  6 Nd 3.49, 6 Ho 3.58
Nd: 0.1021 0.2299 0.5359  4 Ho 3.39-3.73, 1 La 3.49, 2 Nd 3.52
Nd: 0.2299 0.5359 0.1021  4 Ho 3.39-3.73, 1 La 3.49, 2 Nd 3.52
Nd: 0.4641 0.8979 0.7701  4 Ho 3.39-3.73, 1 La 3.49, 2 Nd 3.52
Nd: 0.5359 0.1021 0.2299  4 Ho 3.39-3.73, 1 La 3.49, 2 Nd 3.52
Nd: 0.7701 0.4641 0.8979  4 Ho 3.39-3.73, 1 La 3.49, 2 Nd 3.52
Nd: 0.8979 0.7701 0.4641  4 Ho 3.39-3.73, 1 La 3.49, 2 Nd 3.52
Ho: 0.1126 0.7496 0.7143  3 Nd 3.39-3.73, 5 Ho 3.44-3.48, 1 La 3.58
Ho: 0.2504 0.2857 0.8874  3 Nd 3.39-3.73, 5 Ho 3.44-3.48, 1 La 3.58
Ho: 0.2857 0.8874 0.2504  3 Nd 3.39-3.73, 5 Ho 3.44-3.48, 1 La 3.58
Ho: 0.4232 0.4232 0.4232  4 Ho 3.22-3.44, 3 Nd 3.47
Ho: 0.5768 0.5768 0.5768  4 Ho 3.22-3.44, 3 Nd 3.47
Ho: 0.7143 0.1126 0.7496  3 Nd 3.39-3.73, 5 Ho 3.44-3.48, 1 La 3.58
Ho: 0.7496 0.7143 0.1126  3 Nd 3.39-3.73, 5 Ho 3.44-3.48, 1 La 3.58
Ho: 0.8874 0.2504 0.2857  3 Nd 3.39-3.73, 5 Ho 3.44-3.48, 1 La 3.58

## Properties
Formation energy from the elements   127 meV per atom
Space group   R-3, No. 148

***

Below is a relaxed SrMgGe2S crystal, with properties calculated at the GGA-PBE level.

a = 5.7869 Å, b = 5.7869 Å, c = 5.3513 Å
α = 90.00°, β = 90.00°, γ = 90.00°
Closest atoms and distances in Å follow each position.
Fractional positions:
Sr: 0.0000 0.0000 0.0000  2 S 2.68, 4 Ge 2.89
Mg: 0.5000 0.5000 0.5000  8 Ge 3.94, 4 S 4.09
Ge: 0.0000 0.5000 0.0000  2 Sr 2.89
Ge: 0.5000 0.0000 0.0000  2 Sr 2.89
S: 0.0000 0.0000 0.5000  2 Sr 2.68

## Properties
E_form (uncorrected)   0.706 eV per atom
Space group   P4/mmm, No. 123

***

Below is a relaxed Fe2AgHg crystal, with properties calculated at the GGA-PBE level.

a = 4.8817 Å, b = 4.8817 Å, c = 4.8817 Å
α = 131.82°, β = 131.82°, γ = 70.52°
Closest atoms and distances in Å follow each position.
Fractional positions:
Fe: 0.2500 0.7500 0.5000  4 Fe 2.82, 4 Hg 2.82, 4 Ag 2.82
Fe: 0.7500 0.2500 0.5000  4 Fe 2.82, 4 Hg 2.82, 4 Ag 2.82
Ag: 0.0000 0.0000 0.0000  4 Hg 2.82, 8 Fe 2.82
Hg: 0.5000 0.5000 0.0000  4 Ag 2.82, 8 Fe 2.82

## Properties
Formation energy from the elements   434 meV per atom
Space group   I4/mmm, No. 139